HfMgNiBi PBE optimized geometry; magnetic moment = 0.47 μB per cell; total energy = -19.9 eV/cell; crystal system = cubic; space group = No. 216
1.0
0.000 3.421 3.421
3.421 0.000 3.421
3.421 3.421 0.000
Ni Hf Bi Mg
1 1 1 1
Direct
0.750 0.750 0.750
0.250 0.250 0.250
0.000 0.000 0.000
0.500 0.500 0.500